[1]
Na2Ru3PbO8 | GGA-PBE | relaxed

Cell and atoms, written as POSCAR:
```
Na2Ru3PbO8
1.0
6.094 0.000 0.000
3.047 5.278 0.000
3.047 1.759 5.892
Na Ru Pb O
2 3 1 8
Cartesian
3.047 1.759 3.654
6.094 3.518 2.915
3.047 0.106 0.010
1.616 2.586 0.010
4.478 2.586 0.010
9.141 5.278 2.244
3.047 1.759 1.293
9.141 5.278 4.941
4.719 2.724 4.735
7.469 2.724 4.735
6.094 5.107 4.735
6.094 1.923 1.085
4.712 4.316 1.085
7.476 4.316 1.085
```

Values from the calculation:
As for the density of states at the Fermi level: 0.31 states/eV/atom. The calculated volume is 189 Å³ per cell. As for the crystal system: trigonal.

[2]
Na4Ce3PdO8 | GGA-PBE | relaxed

Cell and atoms, written as POSCAR:
```
Na4Ce3PdO8
1.0
-2.328 -6.303 0.859
2.753 -1.815 -5.861
4.203 2.782 5.098
Na Ce Pd O
4 3 1 8
Cartesian
-1.164 -3.152 0.429
0.937 -1.761 2.978
0.000 0.000 0.000
2.101 1.391 2.549
0.212 -4.059 -2.501
2.314 -2.668 0.048
3.478 0.483 -0.382
1.376 -0.908 -2.931
5.361 -0.073 0.886
3.758 -1.565 -1.297
2.436 -0.716 1.347
4.218 -3.167 1.307
0.409 -2.169 -1.212
2.191 -4.620 -1.251
0.870 -3.772 1.392
-0.734 -5.264 -0.790
```

Values from the calculation:
As for the density of states at the Fermi level: 0.55 states/eV/atom. The calculated volume is 240 Å³ per cell. As for the crystal system: monoclinic.

| no. | M_tot (μB/cell) | formation energy without anion corrections (eV per atom) | E_tot (eV per atom) |
| --- | --- | --- | --- |
| 1 | 5.57 | -1.083 | -6.36 |
| 2 | 1.89 | -2.303 | -6.55 |